(1)
DFT (GGA-PBE) results for a relaxed structure of ZnHg2S.

```
data_ZnHg2S
_cell_length_a 7.030
_cell_length_b 7.030
_cell_length_c 7.030
_cell_angle_alpha 90.00
_cell_angle_beta 90.00
_cell_angle_gamma 90.00
_symmetry_space_group_name_H-M 'F m -3 m'
_symmetry_Int_Tables_number 225
_symmetry_space_group_name_Hall '-F 4 2 3'
loop_
_atom_site_label
_atom_site_type_symbol
_atom_site_fract_x
_atom_site_fract_y
_atom_site_fract_z
Zn1 Zn 0.000 0.000 0.000
Hg1 Hg 0.250 0.250 0.250
S1 S 0.000 0.000 0.500
```

Density of states at the Fermi level = 3.5 states/eV per cell
Formation energy from raw total energies = 0.32 eV per atom

=====

(2)
DFT (GGA-PBE) results for a relaxed structure of MnBeAu2.

```
data_MnBeAu2
_cell_length_a 6.078
_cell_length_b 6.088
_cell_length_c 3.249
_cell_angle_alpha 90.00
_cell_angle_beta 90.00
_cell_angle_gamma 90.00
_symmetry_space_group_name_H-M 'C m m m'
_symmetry_Int_Tables_number 65
_symmetry_space_group_name_Hall '-C 2 2'
loop_
_atom_site_label
_atom_site_type_symbol
_atom_site_fract_x
_atom_site_fract_y
_atom_site_fract_z
Mn1 Mn 0.000 0.000 0.000
Be1 Be 0.000 0.500 0.000
Au1 Au 0.250 0.250 0.500
```

Density of states at the Fermi level = 3.9 states/eV per cell
Calculated formation energy = 34 meV/atom

=====

(3)
DFT (GGA-PBE) results for a relaxed structure of TlAgI2.

```
data_TlAgI2
_cell_length_a 7.970
_cell_length_b 4.600
_cell_length_c 17.164
_cell_angle_alpha 90.00
_cell_angle_beta 90.00
_cell_angle_gamma 90.00
_symmetry_space_group_name_H-M 'P n m a'
_symmetry_Int_Tables_number 62
loop_
_symmetry_equiv_pos_as_xyz
'x,y,z'
'-x,-y,-z'
'-x+1/2,-y,z+1/2'
'x+1/2,y,-z+1/2'
'x+1/2,-y+1/2,-z+1/2'
'-x+1/2,y+1/2,z+1/2'
'-x,y+1/2,-z'
'x,-y+1/2,z'
loop_
_atom_site_label
_atom_site_type_symbol
_atom_site_fract_x
_atom_site_fract_y
_atom_site_fract_z
Tl1 Tl 0.019 0.250 0.165
Ag1 Ag 0.090 0.750 0.456
I1 I 0.202 0.750 0.299
I2 I 0.232 0.750 0.026
```

Density of states at the Fermi level = 0.0 states/eV per cell
Offset from the most stable computed form = 0 meV per atom
Formation energy from raw total energies = -0.45 eV per atom

=====

(4)
DFT (GGA-PBE) results for a relaxed structure of ScGeTeI2.

```
data_ScGeTeI2
_cell_length_a 5.632
_cell_length_b 5.632
_cell_length_c 5.729
_cell_angle_alpha 90.00
_cell_angle_beta 90.00
_cell_angle_gamma 90.00
_symmetry_space_group_name_H-M 'P 4/m m m'
_symmetry_Int_Tables_number 123
_symmetry_space_group_name_Hall '-P 4 2'
loop_
_atom_site_label
_atom_site_type_symbol
_atom_site_fract_x
_atom_site_fract_y
_atom_site_fract_z
Sc1 Sc 0.000 0.000 0.000
Ge1 Ge 0.500 0.500 0.500
Te1 Te 0.000 0.000 0.500
I1 I 0.000 0.500 0.000
```

Density of states at the Fermi level = 2.5 states/eV per cell
Offset from the most stable computed form = 0 meV per atom
Formation energy from raw total energies = -0.19 eV per atom

=====

(5)
DFT (GGA-PBE) results for a relaxed structure of Cs2RbPO4.

```
data_Cs2RbPO4
_cell_length_a 6.506
_cell_length_b 11.263
_cell_length_c 27.443
_cell_angle_alpha 90.00
_cell_angle_beta 90.00
_cell_angle_gamma 90.00
_symmetry_space_group_name_H-M 'F d d d'
_symmetry_Int_Tables_number 70
loop_
_symmetry_equiv_pos_as_xyz
'x,y,z'
'-x,-y,-z'
'-x+1/4,-y+1/4,z'
'x+1/4,y+1/4,-z'
'x,-y+1/4,-z+1/4'
'-x,y+1/4,z+1/4'
'-x+1/4,y,-z+1/4'
'x+1/4,-y,z+1/4'
'x,y+1/2,z+1/2'
'-x,-y+1/2,-z+1/2'
'-x+1/4,-y+3/4,z+1/2'
'x+1/4,y+3/4,-z+1/2'
'x,-y+3/4,-z+3/4'
'-x,y+3/4,z+3/4'
'-x+1/4,y+1/2,-z+3/4'
'x+1/4,-y+1/2,z+3/4'
'x+1/2,y,z+1/2'
'-x+1/2,-y,-z+1/2'
'-x+3/4,-y+1/4,z+1/2'
'x+3/4,y+1/4,-z+1/2'
'x+1/2,-y+1/4,-z+3/4'
'-x+1/2,y+1/4,z+3/4'
'-x+3/4,y,-z+3/4'
'x+3/4,-y,z+3/4'
'x+1/2,y+1/2,z'
'-x+1/2,-y+1/2,-z'
'-x+3/4,-y+3/4,z'
'x+3/4,y+3/4,-z'
'x+1/2,-y+3/4,-z+1/4'
'-x+1/2,y+3/4,z+1/4'
'-x+3/4,y+1/2,-z+1/4'
'x+3/4,-y+1/2,z+1/4'
loop_
_atom_site_label
_atom_site_type_symbol
_atom_site_fract_x
_atom_site_fract_y
_atom_site_fract_z
Cs1 Cs 0.125 0.125 0.318
Rb1 Rb 0.125 0.125 0.125
P1 P 0.125 0.125 0.625
O1 O 0.013 0.292 0.843
```

Density of states at the Fermi level = 0.0 states/eV per cell
Formation energy from raw total energies = -1.92 eV per atom

=====

(6)
DFT (GGA-PBE) results for a relaxed structure of Na2ZrRe.

```
data_Na2ZrRe
_cell_length_a 3.844
_cell_length_b 3.844
_cell_length_c 23.746
_cell_angle_alpha 90.00
_cell_angle_beta 90.00
_cell_angle_gamma 90.00
_symmetry_space_group_name_H-M 'I -4 2 d'
_symmetry_Int_Tables_number 122
_symmetry_space_group_name_Hall 'I -4 2bw'
loop_
_atom_site_label
_atom_site_type_symbol
_atom_site_fract_x
_atom_site_fract_y
_atom_site_fract_z
Na1 Na 0.235 0.250 0.125
Zr1 Zr 0.000 0.000 0.500
Re1 Re 0.000 0.000 0.000
```

Density of states at the Fermi level = 16.2 states/eV per cell
Offset from the most stable computed form = 0 meV per atom
Calculated formation energy = 814 meV/atom